Density functional theory data (PBE) for Rb2Co3Cl8 after structural relaxation.

a = 8.5977 Å, b = 8.5977 Å, c = 6.4272 Å
α = 104.99°, β = 104.99°, γ = 51.12°
Element x y z (fractional)
Rb 0.2353 0.2353 0.1763
Rb 0.7647 0.7647 0.8237
Co 0.2467 0.7533 0.5000
Co 0.5000 0.5000 0.0000
Co 0.7533 0.2467 0.5000
Cl 0.0968 0.0968 0.4604
Cl 0.1851 0.6436 0.1194
Cl 0.3564 0.8149 0.8806
Cl 0.4093 0.4093 0.6044
Cl 0.5907 0.5907 0.3956
Cl 0.6436 0.1851 0.1194
Cl 0.8149 0.3564 0.8806
Cl 0.9032 0.9032 0.5396

- total moment (μB/f.u.) = 9.0
- formation energy from raw total energies (eV/f.u.) = -12.41